Entry 1:
This record from the Alexandria database describes an optimized crystal structure of SrNi2AgF. The functional is PBE with a Hubbard U.

Results
D(E_F)	0.146	states/eV per atom

The structure in extended XYZ format:
```
5
Lattice="4.7355 0.0000 0.0000 0.0000 5.8315 0.0000 0.0000 0.0000 4.7355" Properties=species:S:1:pos:R:3 pbc="T T T"
Ni 0.0000 0.0000 2.3677
Ag 0.0000 2.9158 0.0000
F 2.3677 2.9158 2.3677
Sr 0.0000 0.0000 0.0000
Ni 2.3677 0.0000 0.0000
```

Entry 2:
This record from the Alexandria database describes an optimized crystal structure of Ta2NiAgF. The functional is PBE with a Hubbard U.

Results
D(E_F)	0.835	states/eV per atom

The structure in extended XYZ format:
```
5
Lattice="4.1453 0.0000 0.0000 0.0000 4.6164 0.0000 0.0000 0.0000 4.1453" Properties=species:S:1:pos:R:3 pbc="T T T"
Ag 0.0000 2.3082 0.0000
Ta 0.0000 0.0000 2.0727
F 0.0000 0.0000 0.0000
Ni 2.0727 2.3082 2.0727
Ta 2.0727 0.0000 0.0000
```

The following total energy values (in eV per atom) correspond, in order, to the records above: -0.72, -5.51.